A plane-wave DFT calculation with PBEsol was carried out for an optimized crystal structure of Tl2CoOs.

a b c (Å): 3.1021 4.4223 5.0967
angles (deg): 90.00 90.00 90.00
With the nearest neighbours (Å) after each atom.
Space group Pmmm (No. 47)
Unique sites:
Tl1 0.0000 0.0000 0.0000 [1 per cell]  4 Os 2.70, 4 Tl 2.98
Tl2 0.5000 0.0000 0.5000 [1 per cell]  4 Co 2.70, 4 Tl 2.98
Co1 0.0000 0.5000 0.5000 [1 per cell]  4 Tl 2.70, 4 Os 2.98
Os1 0.5000 0.5000 0.0000 [1 per cell]  4 Tl 2.70, 4 Co 2.98

spin magnetization = 1.20 μB per formula unit
E above lowest polymorph = 0.419 eV/atom
DOS at the Fermi energy = 5.021 states/eV/f.u.



A plane-wave DFT calculation with PBEsol was carried out for an optimized crystal structure of TlCo2Os.

a b c (Å): 2.7381 4.0470 5.1131
angles (deg): 90.00 105.41 90.00
With the nearest neighbours (Å) after each atom.
Space group Pm (No. 6)
Unique sites:
Tl1 0.0000 0.0000 0.0000 [1 per cell]  7 Co 2.55-2.75, 2 Tl 2.74
Co1 0.6022 0.5000 0.2062 [1 per cell]  2 Co 2.44, 2 Os 2.52, 4 Tl 2.65
Co2 0.7401 0.0000 0.4833 [1 per cell]  2 Co 2.44, 1 Tl 2.55, 4 Os 2.56
Os1 0.3159 0.5000 0.6364 [1 per cell]  7 Co 2.52-2.81, 2 Os 2.74

spin magnetization = 0.01 μB per formula unit
E above lowest polymorph = 0.007 eV/atom
DOS at the Fermi energy = 4.079 states/eV/f.u.



A plane-wave DFT calculation with PBEsol was carried out for an optimized crystal structure of Co2OsW.

a b c (Å): 5.8989 5.8989 5.8989
angles (deg): 90.00 90.00 90.00
With the nearest neighbours (Å) after each atom.
Space group F-43m (No. 216)
Unique sites:
Co1 0.0000 0.0000 0.0000 [4 per cell]  4 W 2.55, 4 Co 2.55
Co2 0.2500 0.2500 0.2500 [4 per cell]  4 Co 2.55, 4 Os 2.55
Os1 0.0000 0.0000 0.5000 [4 per cell]  4 W 2.55, 4 Co 2.55
W1 0.2500 0.2500 0.7500 [4 per cell]  4 Co 2.55, 4 Os 2.55

spin magnetization = 1.68 μB per formula unit
E above lowest polymorph = 0.258 eV/atom
DOS at the Fermi energy = 4.996 states/eV/f.u.



A plane-wave DFT calculation with PBEsol was carried out for an optimized crystal structure of Co2OsW.

a b c (Å): 2.6063 3.6476 5.2052
angles (deg): 90.00 90.00 90.00
With the nearest neighbours (Å) after each atom.
Space group Pmmm (No. 47)
Unique sites:
Co1 0.0000 0.0000 0.2409 [2 per cell]  4 Co 2.51-2.70, 4 Os 2.57, 4 W 2.62
Os1 0.5000 0.5000 0.0000 [1 per cell]  8 Co 2.57, 2 W 2.60, 2 Os 2.61
W1 0.5000 0.5000 0.5000 [1 per cell]  2 Os 2.60, 2 W 2.61, 8 Co 2.62

spin magnetization = 0.35 μB per formula unit
E above lowest polymorph = 0.095 eV/atom
DOS at the Fermi energy = 4.813 states/eV/f.u.



A plane-wave DFT calculation with PBEsol was carried out for an optimized crystal structure of CoOsW2.

a b c (Å): 3.8391 3.8391 3.7582
angles (deg): 90.00 90.00 90.00
With the nearest neighbours (Å) after each atom.
Space group P4/mmm (No. 123)
Unique sites:
Co1 0.0000 0.0000 0.0000 [1 per cell]  8 W 2.69, 4 Os 2.71
Os1 0.5000 0.5000 0.0000 [1 per cell]  8 W 2.69, 4 Co 2.71
W1 0.0000 0.5000 0.5000 [2 per cell]  4 Co 2.69, 4 Os 2.69, 4 W 2.71

spin magnetization = 0.00 μB per formula unit
E above lowest polymorph = 0.004 eV/atom
DOS at the Fermi energy = 3.340 states/eV/f.u.



A plane-wave DFT calculation with PBEsol was carried out for an optimized crystal structure of CoOs2W.

a b c (Å): 3.7795 3.7795 3.7539
angles (deg): 90.00 90.00 90.00
With the nearest neighbours (Å) after each atom.
Space group P4/mmm (No. 123)
Unique sites:
Co1 0.0000 0.0000 0.0000 [1 per cell]  8 Os 2.66, 4 W 2.67
Os1 0.0000 0.5000 0.5000 [2 per cell]  4 W 2.66, 4 Co 2.66, 4 Os 2.67
W1 0.5000 0.5000 0.0000 [1 per cell]  8 Os 2.66, 4 Co 2.67

spin magnetization = 0.00 μB per formula unit
E above lowest polymorph = 0.000 eV/atom
DOS at the Fermi energy = 3.649 states/eV/f.u.



Uncorrected energy, record by record: -21.196 -28.028 -162.274 -41.220 -47.398 -45.995 eV per cell
ΔH_f (0 K), record by record: 1.00 0.57 0.23 0.07 0.04 0.00 eV/atom